Record 1
This record from Alexandria describes TbHo2Er5Zr after structural relaxation. The functional is PBE.

Output
Energy relative to the elements in meV per atom: 174
Calculated volume in Å³/atom: 30.77

Cell: 5.570 21.464 9.265 Å, 90.00 90.00 90.00°
Space group Cmc2_1 (No. 36)
Symmetry-distinct sites (fractional):
Tb (0.000, 0.099, 0.000) (multiplicity 4)
Ho (0.000, 0.366, 0.714) (multiplicity 4)
Ho (0.000, 0.385, 0.107) (multiplicity 4)
Er (0.000, 0.029, 0.680) (multiplicity 4)
Er (0.000, 0.105, 0.382) (multiplicity 4)
Er (0.000, 0.196, 0.715) (multiplicity 4)
Er (0.000, 0.232, 0.099) (multiplicity 4)
Er (0.000, 0.486, 0.415) (multiplicity 4)
Zr (0.000, 0.316, 0.409) (multiplicity 4)

Record 2
This record from Alexandria describes LaYIN2 after structural relaxation. The functional is PBE.

Output
Offset from the most stable computed form in eV/atom: 0.000
E_form (uncorrected) in eV per formula unit: -0.37
Calculated volume in Å³/atom: 23.71

Cell: 4.561 4.561 5.697 Å, 90.00 90.00 90.00°
Space group P4/mmm (No. 123)
Symmetry-distinct sites (fractional):
La (0.000, 0.000, 0.000) (multiplicity 1)
Y (0.500, 0.500, 0.500) (multiplicity 1)
I (0.500, 0.500, 0.000) (multiplicity 1)
N (0.000, 0.500, 0.500) (multiplicity 2)

Record 3
This record from Alexandria describes BaNp2ScO8 after structural relaxation. The functional is PBE.

Output
E_form (uncorrected) in eV per formula unit: -35.20
Calculated volume in Å³/atom: 15.64

Cell: 5.141 5.144 7.111 Å, 89.95 89.95 86.35°
Space group P-1 (No. 2)
Symmetry-distinct sites (fractional):
Ba (0.000, 0.000, 0.000) (multiplicity 1)
Np (0.500, 0.500, 0.260) (multiplicity 2)
Sc (0.000, 0.000, 0.500) (multiplicity 1)
O (0.215, 0.783, 0.291) (multiplicity 2)
O (0.215, 0.783, 0.709) (multiplicity 2)
O (0.311, 0.310, 0.500) (multiplicity 2)
O (0.341, 0.338, 0.999) (multiplicity 2)

Record 4
This record from Alexandria describes Rb2AlRe after structural relaxation. The functional is PBE.

Output
Energy relative to the elements in meV per atom: 1551
Calculated volume in Å³/atom: 25.57

Cell: 4.056 4.056 24.870 Å, 90.00 90.00 90.00°
Space group I-42d (No. 122)
Symmetry-distinct sites (fractional):
Rb (0.249, 0.250, 0.125) (multiplicity 8)
Al (0.000, 0.000, 0.500) (multiplicity 4)
Re (0.000, 0.000, 0.000) (multiplicity 4)

Record 5
This record from Alexandria describes HoErCuNi after structural relaxation. The functional is PBE.

Output
Offset from the most stable computed form in eV/atom: 0.035
Energy relative to the elements in meV per atom: -347
Calculated volume in Å³/atom: 19.57

Cell: 6.790 6.790 6.790 Å, 90.00 90.00 90.00°
Space group F-43m (No. 216)
Symmetry-distinct sites (fractional):
Ho (0.000, 0.000, 0.000) (multiplicity 4)
Er (0.000, 0.000, 0.500) (multiplicity 4)
Cu (0.250, 0.250, 0.750) (multiplicity 4)
Ni (0.250, 0.250, 0.250) (multiplicity 4)

Record 6
This record from Alexandria describes LaZrCd after structural relaxation. The functional is PBE.

Output
Offset from the most stable computed form in eV/atom: 0.000
Energy relative to the elements in meV per atom: -109
Calculated volume in Å³/atom: 27.15

Cell: 3.460 3.460 13.612 Å, 90.00 90.00 90.00°
Space group P4/nmm (No. 129, origin choice 2)
Symmetry-distinct sites (fractional):
La (0.250, 0.250, 0.115) (multiplicity 2)
Zr (0.250, 0.250, 0.429) (multiplicity 2)
Cd (0.250, 0.250, 0.713) (multiplicity 2)

Record 7
This record from Alexandria describes HfW2Cl after structural relaxation. The functional is PBE.

Output
Offset from the most stable computed form in eV/atom: 0.538
E_form (uncorrected) in eV per formula unit: 5.02
Calculated volume in Å³/atom: 17.57

Cell: 6.551 6.551 6.551 Å, 90.00 90.00 90.00°
Space group Fm-3m (No. 225)
Symmetry-distinct sites (fractional):
Hf (0.000, 0.000, 0.000) (multiplicity 4)
W (0.250, 0.250, 0.250) (multiplicity 8)
Cl (0.000, 0.000, 0.500) (multiplicity 4)

Record 8
This record from Alexandria describes LiFeGe2 after structural relaxation. The functional is PBE.

Output
Offset from the most stable computed form in eV/atom: 0.061
Energy relative to the elements in meV per atom: -55
Calculated volume in Å³/atom: 12.96

Cell: 5.918 5.918 5.918 Å, 90.00 90.00 90.00°
Space group Fm-3m (No. 225)
Symmetry-distinct sites (fractional):
Li (0.000, 0.000, 0.000) (multiplicity 4)
Fe (0.000, 0.000, 0.500) (multiplicity 4)
Ge (0.250, 0.250, 0.250) (multiplicity 8)